Density functional theory data (PBE-GGA) for a relaxed Ho3Er2Tl crystal. Values from VASP.

Values from the calculation:
E_form in eV/f.u.: -0.34
Density of states at the Fermi level in states/eV per cell: 15.8
Calculated total energy in eV per atom: -4.26
V in Å³/cell: 365

Structure (Quantum ESPRESSO input):
```
&SYSTEM
  ibrav = 0, nat = 12, ntyp = 3
/
ATOMIC_SPECIES
Ho 164.93 Ho.upf
Er 167.26 Er.upf
Tl 204.38 Tl.upf
ATOMIC_POSITIONS angstrom
Ho 8.595 1.977 5.231
Ho 6.213 0.000 0.000
Ho 6.213 0.000 3.488
Ho 10.977 0.000 0.000
Ho 10.977 0.000 3.488
Ho 8.595 -1.977 1.744
Er 3.225 0.093 5.231
Er 3.225 -0.093 1.744
Er 13.965 0.093 5.231
Er 13.965 -0.093 1.744
Tl 8.595 1.166 1.744
Tl 8.595 -1.166 5.231
CELL_PARAMETERS angstrom
8.595 -3.048 0.000
8.595 3.048 0.000
0.000 0.000 6.975
```

=====

Density functional theory data (PBE-GGA) for a relaxed SrLaZnAg crystal. Values from VASP.

Values from the calculation:
E_form in eV/f.u.: -1.04
Density of states at the Fermi level in states/eV per cell: 4.1
Calculated total energy in eV per atom: -2.94
V in Å³/cell: 115

Structure (Quantum ESPRESSO input):
```
&SYSTEM
  ibrav = 0, nat = 4, ntyp = 4
/
ATOMIC_SPECIES
Sr 87.62 Sr.upf
La 138.91 La.upf
Zn 65.41 Zn.upf
Ag 107.87 Ag.upf
ATOMIC_POSITIONS angstrom
Sr 0.000 0.000 0.000
La 0.000 0.000 3.915
Zn 1.933 1.933 5.610
Ag 1.933 1.933 2.110
CELL_PARAMETERS angstrom
3.866 0.000 0.000
0.000 3.866 0.000
0.000 0.000 7.688
```

=====

Density functional theory data (PBE-GGA) for a relaxed RbTiHgBr6 crystal. Values from VASP.

Values from the calculation:
E_form (uncorrected) in eV/atom: -1.06
Density of states at the Fermi level in states/eV per cell: 2.9
Calculated total energy in eV per atom: -3.19
V in Å³/cell: 385

Structure (Quantum ESPRESSO input):
```
&SYSTEM
  ibrav = 0, nat = 9, ntyp = 4
/
ATOMIC_SPECIES
Rb 85.47 Rb.upf
Ti 47.87 Ti.upf
Hg 200.59 Hg.upf
Br 79.90 Br.upf
ATOMIC_POSITIONS angstrom
Rb 0.000 0.000 0.000
Ti 2.796 6.864 4.833
Hg 5.023 3.427 4.742
Br 4.800 8.349 4.875
Br 3.865 5.409 3.015
Br 3.956 5.401 6.621
Br 8.896 8.325 6.621
Br 6.187 1.450 3.015
Br 8.055 5.379 4.870
CELL_PARAMETERS angstrom
7.263 0.000 0.000
2.806 6.872 0.000
1.389 3.431 7.711
```

=====

Density functional theory data (PBE-GGA) for a relaxed K2NdIrO4 crystal. Values from VASP.

Values from the calculation:
E_form (uncorrected) in eV/atom: -1.64
Density of states at the Fermi level in states/eV per cell: 4.9
Calculated total energy in eV per atom: -6.10
V in Å³/cell: 141

Structure (Quantum ESPRESSO input):
```
&SYSTEM
  ibrav = 0, nat = 8, ntyp = 4
/
ATOMIC_SPECIES
K 39.10 K.upf
Nd 144.24 Nd.upf
Ir 192.22 Ir.upf
O 16.00 O.upf
ATOMIC_POSITIONS angstrom
K 0.000 0.000 0.000
K 0.000 3.143 1.789
Nd 0.000 0.000 3.577
Ir 3.143 0.000 1.789
O 1.702 2.168 -1.513
O 1.440 0.975 2.064
O 4.118 1.702 1.513
O -0.975 1.440 5.090
CELL_PARAMETERS angstrom
-3.143 3.143 3.577
3.143 -3.143 3.577
3.143 3.143 -3.577
```

=====

- Which of these has the lowest density of states at the Fermi level?
  RbTiHgBr6